[1]
Density functional theory data (PBE) for an optimized crystal structure of RbNa2Cd2Hg2.

Lattice parameters (Å, degrees): 10.2074 10.2074 10.2074 29.53 29.53 29.53
With the nearest neighbours (Å) after each atom.
Atoms (fractional coordinates):
Rb 0.0000 0.0000 0.0000  6 Cd 3.92, 2 Na 3.94, 6 Hg 4.07
Na 0.1346 0.1346 0.1346  3 Hg 3.23, 4 Cd 3.29-3.32, 3 Na 3.54
Na 0.8654 0.8654 0.8654  3 Hg 3.23, 4 Cd 3.29-3.32, 3 Na 3.54
Cd 0.2472 0.2472 0.2472  3 Hg 3.01, 4 Na 3.29-3.32
Cd 0.7528 0.7528 0.7528  3 Hg 3.01, 4 Na 3.29-3.32
Hg 0.4271 0.4271 0.4271  3 Cd 3.01, 3 Na 3.23
Hg 0.5729 0.5729 0.5729  3 Cd 3.01, 3 Na 3.23

The final energy is -0.0372 Ha/atom.

[2]
Density functional theory data (PBE) for an optimized crystal structure of PaSi2Os2Pt.

Lattice parameters (Å, degrees): 4.5521 4.5521 5.3418 90.00 90.00 90.00
With the nearest neighbours (Å) after each atom.
Atoms (fractional coordinates):
Pa 0.0000 0.0000 0.0000  2 Pt 2.67
Si 0.0000 0.5000 0.5000  2 Pt 2.28
Si 0.5000 0.0000 0.5000  2 Pt 2.28
Os 0.5000 0.5000 0.2357  1 Os 2.52, 4 Si 2.68
Os 0.5000 0.5000 0.7643  1 Os 2.52, 4 Si 2.68
Pt 0.0000 0.0000 0.5000  4 Si 2.28

The final energy is -0.2925 Ha/atom. For the energy relative to the elements, uncorrected, the calculation gives 180 meV per atom.

[3]
Density functional theory data (PBE) for an optimized crystal structure of Rb3CrTe4.

Lattice parameters (Å, degrees): 10.5518 11.9902 10.5973 90.00 90.00 90.00
With the nearest neighbours (Å) after each atom.
Atoms (fractional coordinates):
Rb 0.0458 0.0444 0.1994  7 Te 3.65-3.90
Rb 0.0458 0.4556 0.1994  7 Te 3.65-3.90
Rb 0.1430 0.7500 0.4094  5 Te 3.64-3.87
Rb 0.3570 0.2500 0.9094  5 Te 3.64-3.87
Rb 0.4542 0.5444 0.6994  7 Te 3.65-3.90
Rb 0.4542 0.9556 0.6994  7 Te 3.65-3.90
Rb 0.5458 0.0444 0.3006  7 Te 3.65-3.90
Rb 0.5458 0.4556 0.3006  7 Te 3.65-3.90
Rb 0.6430 0.7500 0.0906  5 Te 3.64-3.87
Rb 0.8570 0.2500 0.5906  5 Te 3.64-3.87
Rb 0.9542 0.5444 0.8006  7 Te 3.65-3.90
Rb 0.9542 0.9556 0.8006  7 Te 3.65-3.90
Cr 0.2229 0.7500 0.9815  4 Te 2.49-2.51
Cr 0.2771 0.2500 0.4815  4 Te 2.49-2.51
Cr 0.7229 0.7500 0.5185  4 Te 2.49-2.51
Cr 0.7771 0.2500 0.0185  4 Te 2.49-2.51
Te 0.0052 0.7500 0.0771  1 Cr 2.51
Te 0.1633 0.0775 0.5467  1 Cr 2.49
Te 0.1633 0.4225 0.5467  1 Cr 2.49
Te 0.2043 0.7500 0.7473  1 Cr 2.49
Te 0.2957 0.2500 0.2473  1 Cr 2.49
Te 0.3367 0.5775 0.0467  1 Cr 2.49
Te 0.3367 0.9225 0.0467  1 Cr 2.49
Te 0.4948 0.2500 0.5771  1 Cr 2.51
Te 0.5052 0.7500 0.4229  1 Cr 2.51
Te 0.6633 0.0775 0.9533  1 Cr 2.49
Te 0.6633 0.4225 0.9533  1 Cr 2.49
Te 0.7043 0.7500 0.7527  1 Cr 2.49
Te 0.7957 0.2500 0.2527  1 Cr 2.49
Te 0.8367 0.5775 0.4533  1 Cr 2.49
Te 0.8367 0.9225 0.4533  1 Cr 2.49
Te 0.9948 0.2500 0.9229  1 Cr 2.51

The final energy is -0.1384 Ha/atom. For the energy relative to the elements, uncorrected, the calculation gives -628 meV per atom.

[4]
Density functional theory data (PBE) for an optimized crystal structure of CaTb2Ti.

Lattice parameters (Å, degrees): 12.3067 12.3067 12.3067 15.80 15.80 15.80
With the nearest neighbours (Å) after each atom.
Atoms (fractional coordinates):
Ca 0.0000 0.0000 0.0000  6 Ca 3.38, 6 Tb 3.73
Tb 0.4204 0.4204 0.4204  1 Ti 2.90
Tb 0.5796 0.5796 0.5796  1 Ti 2.90
Ti 0.5000 0.5000 0.5000  2 Tb 2.90

The final energy is -0.1565 Ha/atom. For the excess energy over the best structure of this formula in the dataset, the calculation gives 0.3574 eV/atom.

Number 4 is which compound? CaTb2Ti

final energy of number 2 (PaSi2Os2Pt)? -0.2925 Ha/atom